Entry 1:
This record from Alexandria via LeMat-Bulk describes an optimized crystal structure of YPa2Os. The functional is GGA-PBE.

Energy of formation in eV per atom: 0.078
Density of states at the Fermi level in states/eV/atom: 1.86

Structure (CIF):
```
data_YPa2Os
_chemical_formula_sum 'Y3 Pa6 Os3'
_symmetry_space_group_name_H-M 'R -3 m'
_symmetry_Int_Tables_number 166
_symmetry_space_group_name_Hall '-R 3 2"'
_cell_length_a 3.7605
_cell_length_b 3.7605
_cell_length_c 26.6285
_cell_angle_alpha 90.00
_cell_angle_beta 90.00
_cell_angle_gamma 120.00
loop_
_atom_site_label
_atom_site_type_symbol
_atom_site_fract_x
_atom_site_fract_y
_atom_site_fract_z
_atom_site_occupancy
Y1 Y 0.0000 0.0000 0.0000 1
Pa1 Pa 0.0000 0.0000 0.2301 1
Os1 Os 0.0000 0.0000 0.5000 1
```

Entry 2:
This record from Alexandria via LeMat-Bulk describes an optimized crystal structure of NaNiH3. The functional is GGA-PBE.

Total energy in Ry per atom: -0.2660
Density of states at the Fermi level in states/eV/atom: 0.14

Structure (CIF):
```
data_NaNiH3
_chemical_formula_sum 'Na4 Ni4 H12'
_symmetry_space_group_name_H-M 'C 1 2/m 1'
_symmetry_Int_Tables_number 12
_symmetry_space_group_name_Hall '-C 2y'
_cell_length_a 8.6100
_cell_length_b 4.9714
_cell_length_c 4.6426
_cell_angle_alpha 90.00
_cell_angle_beta 90.51
_cell_angle_gamma 90.00
loop_
_atom_site_label
_atom_site_type_symbol
_atom_site_fract_x
_atom_site_fract_y
_atom_site_fract_z
_atom_site_occupancy
Na1 Na 0.1668 0.0000 0.2492 1
Ni1 Ni 0.0000 0.5000 0.0000 1
Ni2 Ni 0.0000 0.5000 0.5000 1
H1 H 0.0689 0.2932 0.7518 1
H2 H 0.1379 0.5000 0.2528 1
```

Entry 3:
This record from Alexandria via LeMat-Bulk describes an optimized crystal structure of Pr2CdGa4Au3. The functional is GGA-PBE.

Energy of formation in eV per atom: -0.600
Density of states at the Fermi level in states/eV/atom: 0.56

Structure (CIF):
```
data_Pr2CdGa4Au3
_chemical_formula_sum 'Pr2 Cd1 Ga4 Au3'
_symmetry_space_group_name_H-M 'P -4 m 2'
_symmetry_Int_Tables_number 115
_symmetry_space_group_name_Hall 'P -4 -2'
_cell_length_a 4.4225
_cell_length_b 4.4225
_cell_length_c 10.9036
_cell_angle_alpha 90.00
_cell_angle_beta 90.00
_cell_angle_gamma 90.00
loop_
_atom_site_label
_atom_site_type_symbol
_atom_site_fract_x
_atom_site_fract_y
_atom_site_fract_z
_atom_site_occupancy
Pr1 Pr 0.0000 0.5000 0.2454 1
Cd1 Cd 0.0000 0.0000 0.5000 1
Ga1 Ga 0.0000 0.0000 0.0000 1
Ga2 Ga 0.0000 0.5000 0.6426 1
Ga3 Ga 0.5000 0.5000 0.0000 1
Au1 Au 0.0000 0.5000 0.8728 1
Au2 Au 0.5000 0.5000 0.5000 1
```

Entry 4:
This record from Alexandria via LeMat-Bulk describes an optimized crystal structure of CaSbOs2. The functional is GGA-PBE.

Uncorrected formation energy in kJ/mol of formula units: 223
Density of states at the Fermi level in states/eV/atom: 1.22

Structure (CIF):
```
data_CaSbOs2
_chemical_formula_sum 'Ca2 Sb2 Os4'
_symmetry_space_group_name_H-M 'I -4 m 2'
_symmetry_Int_Tables_number 119
_symmetry_space_group_name_Hall 'I -4 -2'
_cell_length_a 4.0665
_cell_length_b 4.0665
_cell_length_c 8.7393
_cell_angle_alpha 90.00
_cell_angle_beta 90.00
_cell_angle_gamma 90.00
loop_
_atom_site_label
_atom_site_type_symbol
_atom_site_fract_x
_atom_site_fract_y
_atom_site_fract_z
_atom_site_occupancy
Ca1 Ca 0.0000 0.0000 0.0000 1
Sb1 Sb 0.0000 0.5000 0.2500 1
Os1 Os 0.0000 0.0000 0.5000 1
Os2 Os 0.0000 0.5000 0.7500 1
```